DFT (PBE) results for a geometry-optimized SiWBr2 structure.

Summary:
ΔE_f (raw) = 1.22 eV/atom
magnetization = 0.0 Bohr magnetons per cell
ΔE to the lowest computed polymorph = 1.0870 eV per atom

Cell lengths 4.9576, 4.9576, 4.9576 Å; angles 127.68, 127.68, 77.14 degrees
Sites, in units of the cell vectors:
1 Si 0.0000 0.0000 0.0000
2 W 0.2500 0.7500 0.5000
3 Br 0.5000 0.5000 0.0000
4 Br 0.7500 0.2500 0.5000